(1)
A relaxed structure of Th2PaSiC4, computed with PBE-GGA.

It has space group Cmcm (No. 63), with a = 3.560 Å, b = 11.591 Å, c = 12.540 Å, α = 90.00°, β = 90.00° and γ = 90.00°. Symmetry generates all atoms from Th at (0.000, 0.135, 0.052), Pa at (0.000, 0.400, 0.250), Si at (0.000, 0.330, 0.750), C at (0.000, 0.068, 0.250), C at (0.000, 0.218, 0.641) and C at (0.000, 0.500, 0.000).

For the calculated total energy, the calculation gives -8.394 eV per atom. For the raw formation energy, the calculation gives -0.062 eV/atom. As for the density: 9.90 g/cm3. The magnetic moment is 0.00 Bohr magnetons per cell.

=====

(2)
A relaxed structure of Tm2PaSiC4, computed with PBE-GGA.

It has space group Cmcm (No. 63), with a = 3.390 Å, b = 11.327 Å, c = 11.794 Å, α = 90.00°, β = 90.00° and γ = 90.00°. Symmetry generates all atoms from Tm at (0.000, 0.135, 0.049), Pa at (0.000, 0.396, 0.250), Si at (0.000, 0.338, 0.750), C at (0.000, 0.059, 0.250), C at (0.000, 0.227, 0.634) and C at (0.000, 0.500, 0.000).

For the calculated total energy, the calculation gives -7.738 eV per atom. For the raw formation energy, the calculation gives -0.143 eV/atom. As for the density: 9.46 g/cm3. The magnetic moment is 0.00 Bohr magnetons per cell.

=====

(3)
A relaxed structure of U2PaSiC4, computed with PBE-GGA.

It has space group Cmcm (No. 63), with a = 3.435 Å, b = 11.199 Å, c = 11.702 Å, α = 90.00°, β = 90.00° and γ = 90.00°. Symmetry generates all atoms from U at (0.000, 0.134, 0.051), Pa at (0.000, 0.399, 0.250), Si at (0.000, 0.336, 0.750), C at (0.000, 0.072, 0.250), C at (0.000, 0.225, 0.631) and C at (0.000, 0.500, 0.000).

For the calculated total energy, the calculation gives -9.420 eV per atom. For the raw formation energy, the calculation gives -0.121 eV/atom. As for the density: 11.56 g/cm3. The magnetic moment is 0.03 Bohr magnetons per cell.

=====

(4)
A relaxed structure of UPa2SiC4, computed with PBE-GGA.

It has space group Cmcm (No. 63), with a = 3.492 Å, b = 11.420 Å, c = 11.902 Å, α = 90.00°, β = 90.00° and γ = 90.00°. Symmetry generates all atoms from U at (0.000, 0.100, 0.250), Pa at (0.000, 0.366, 0.051), Si at (0.000, 0.164, 0.750), C at (0.000, 0.000, 0.000), C at (0.000, 0.273, 0.633) and C at (0.000, 0.432, 0.250).

For the calculated total energy, the calculation gives -9.203 eV per atom. For the raw formation energy, the calculation gives -0.128 eV/atom. As for the density: 10.86 g/cm3. The magnetic moment is 9.59 Bohr magnetons per cell.